Density functional theory data (GGA-PBE) for an optimized crystal structure of ScTiNi2Ag.

Unit cell a=4.3830 b=4.3830 c=4.8763 alpha=90.00 beta=90.00 gamma=90.00
With the nearest neighbours (Å) after each atom.
Space group P4/mmm (No. 123)
Inequivalent atoms, fractional coordinates:
Sc (0.0000, 0.0000, 0.0000) [1 per cell]  2 Ti 2.44
Ti (0.0000, 0.0000, 0.5000) [1 per cell]  4 Ni 2.19, 2 Sc 2.44
Ni (0.0000, 0.5000, 0.5000) [2 per cell]  2 Ti 2.19
Ag (0.5000, 0.5000, 0.0000) [1 per cell]  4 Sc 3.10, 8 Ni 3.28

Energy of formation from the pure elements (eV/atom): 0.734
Mass density (g cm⁻³): 5.6
DOS at the Fermi energy (states/eV/f.u.): 3.2

Density functional theory data (GGA-PBE) for an optimized crystal structure of ScTlNiAg.

Unit cell a=6.6219 b=6.6219 c=6.6219 alpha=90.00 beta=90.00 gamma=90.00
With the nearest neighbours (Å) after each atom.
Space group F-43m (No. 216)
Inequivalent atoms, fractional coordinates:
Sc (0.0000, 0.0000, 0.0000) [4 per cell]  4 Ni 2.87, 4 Ag 2.87
Tl (0.0000, 0.0000, 0.5000) [4 per cell]  4 Ni 2.87, 4 Ag 2.87
Ni (0.2500, 0.2500, 0.2500) [4 per cell]  4 Tl 2.87, 4 Sc 2.87
Ag (0.2500, 0.2500, 0.7500) [4 per cell]  4 Tl 2.87, 4 Sc 2.87

Energy of formation from the pure elements (eV/atom): -0.124
Mass density (g cm⁻³): 9.5
DOS at the Fermi energy (states/eV/f.u.): 3.5